Record 1
The following is a DFT calculation (PBE-GGA) of crystalline SiMoBr2 at its relaxed geometry.

```
data_SiMoBr2
_space_group_name_H-M_alt 'C 1 2/m 1'
_space_group_IT_number 12
_space_group_name_Hall '-C 2y'
_cell_length_a 6.2724
_cell_length_b 9.2122
_cell_length_c 3.4579
_cell_angle_alpha 90.00
_cell_angle_beta 122.24
_cell_angle_gamma 90.00
loop_
_atom_site_label
_atom_site_type_symbol
_atom_site_fract_x
_atom_site_fract_y
_atom_site_fract_z
Si1 Si 0.0000 0.0000 0.0000
Mo1 Mo 0.0000 0.5000 0.0000
Br1 Br 0.2500 0.2500 0.5000
```

- D(E_F) (states/eV/atom) = 0.5892
- total magnetization (μB per formula unit) = 2.68
- ΔE to the lowest computed polymorph (meV/atom) = 813
- V (Å³/atom) = 21.1
- formation energy from raw total energies (eV per atom) = 0.797



Record 2
The following is a DFT calculation (PBE-GGA) of crystalline LiCuAu3 at its relaxed geometry.

```
data_LiCuAu3
_space_group_name_H-M_alt 'P 1'
_space_group_IT_number 1
_space_group_name_Hall 'P 1'
_cell_length_a 4.6330
_cell_length_b 4.6607
_cell_length_c 7.8993
_cell_angle_alpha 85.82
_cell_angle_beta 73.12
_cell_angle_gamma 76.49
loop_
_atom_site_label
_atom_site_type_symbol
_atom_site_fract_x
_atom_site_fract_y
_atom_site_fract_z
Li1 Li 0.0000 0.0000 0.0000
Li2 Li 0.3041 0.5002 0.3908
Cu1 Cu 0.4999 0.5016 0.9980
Cu2 Cu 0.8033 0.0014 0.3929
Au1 Au 0.0919 0.5003 0.8146
Au2 Au 0.2119 0.9999 0.5762
Au3 Au 0.4032 0.0010 0.1942
Au4 Au 0.5934 0.0009 0.8123
Au5 Au 0.7111 0.5005 0.5785
Au6 Au 0.9009 0.5001 0.1966
```

- D(E_F) (states/eV/atom) = 0.2088
- total magnetization (μB per formula unit) = 0.00
- ΔE to the lowest computed polymorph (meV/atom) = 0
- V (Å³/atom) = 15.9
- formation energy (eV per atom) = -0.254



Record 3
The following is a DFT calculation (PBE-GGA) of crystalline NaZnIn2Te4 at its relaxed geometry.

```
data_NaZnIn2Te4
_space_group_name_H-M_alt 'F m m 2'
_space_group_IT_number 42
_space_group_name_Hall 'F 2 -2'
_cell_length_a 9.2851
_cell_length_b 10.4038
_cell_length_c 12.0220
_cell_angle_alpha 90.00
_cell_angle_beta 90.00
_cell_angle_gamma 90.00
loop_
_atom_site_label
_atom_site_type_symbol
_atom_site_fract_x
_atom_site_fract_y
_atom_site_fract_z
Na1 Na 0.0000 0.0000 0.0000
Zn1 Zn 0.0000 0.0000 0.5222
In1 In 0.2500 0.2500 0.2607
Te1 Te 0.0000 0.2231 0.4080
Te2 Te 0.2337 0.0000 0.6520
```

- D(E_F) (states/eV/atom) = 0.2345
- total magnetization (μB per formula unit) = 0.00
- V (Å³/atom) = 36.3
- formation energy from raw total energies (eV per atom) = -0.431



Record 4
The following is a DFT calculation (PBE-GGA) of crystalline LaNb2Si at its relaxed geometry.

```
data_LaNb2Si
_space_group_name_H-M_alt 'I -4 2 d'
_space_group_IT_number 122
_space_group_name_Hall 'I -4 2bw'
_cell_length_a 7.9416
_cell_length_b 7.9416
_cell_length_c 5.6627
_cell_angle_alpha 90.00
_cell_angle_beta 90.00
_cell_angle_gamma 90.00
loop_
_atom_site_label
_atom_site_type_symbol
_atom_site_fract_x
_atom_site_fract_y
_atom_site_fract_z
La1 La 0.0000 0.0000 0.0000
Nb1 Nb 0.1835 0.2500 0.6250
Si1 Si 0.0000 0.0000 0.5000
```

- D(E_F) (states/eV/atom) = 0.9926
- total magnetization (μB per formula unit) = 0.00
- V (Å³/atom) = 22.3
- formation energy from raw total energies (eV per atom) = 0.293



Record 5
The following is a DFT calculation (PBE-GGA) of crystalline Lu2ScSi at its relaxed geometry.

```
data_Lu2ScSi
_space_group_name_H-M_alt 'P 4/m m m'
_space_group_IT_number 123
_space_group_name_Hall '-P 4 2'
_cell_length_a 4.5033
_cell_length_b 4.5033
_cell_length_c 4.3662
_cell_angle_alpha 90.00
_cell_angle_beta 90.00
_cell_angle_gamma 90.00
loop_
_atom_site_label
_atom_site_type_symbol
_atom_site_fract_x
_atom_site_fract_y
_atom_site_fract_z
Lu1 Lu 0.0000 0.5000 0.0000
Sc1 Sc 0.0000 0.0000 0.5000
Si1 Si 0.5000 0.5000 0.5000
```

- D(E_F) (states/eV/atom) = 1.1711
- total magnetization (μB per formula unit) = 0.39
- ΔE to the lowest computed polymorph (meV/atom) = 0
- V (Å³/atom) = 22.1
- formation energy from raw total energies (eV per atom) = -0.269



Record 6
The following is a DFT calculation (PBE-GGA) of crystalline KSrLi2Cu at its relaxed geometry.

```
data_KSrLi2Cu
_space_group_name_H-M_alt 'P 4/m m m'
_space_group_IT_number 123
_space_group_name_Hall '-P 4 2'
_cell_length_a 5.4676
_cell_length_b 5.4676
_cell_length_c 5.7757
_cell_angle_alpha 90.00
_cell_angle_beta 90.00
_cell_angle_gamma 90.00
loop_
_atom_site_label
_atom_site_type_symbol
_atom_site_fract_x
_atom_site_fract_y
_atom_site_fract_z
K1 K 0.0000 0.0000 0.0000
Sr1 Sr 0.5000 0.5000 0.0000
Li1 Li 0.0000 0.5000 0.5000
Cu1 Cu 0.5000 0.5000 0.5000
```

- D(E_F) (states/eV/atom) = 0.6964
- total magnetization (μB per formula unit) = 0.00
- V (Å³/atom) = 34.5
- formation energy (eV per atom) = 0.187



Record 7
The following is a DFT calculation (PBE-GGA) of crystalline ScGaNF2 at its relaxed geometry.

```
data_ScGaNF2
_space_group_name_H-M_alt 'P 4/m m m'
_space_group_IT_number 123
_space_group_name_Hall '-P 4 2'
_cell_length_a 4.0258
_cell_length_b 4.0258
_cell_length_c 4.4486
_cell_angle_alpha 90.00
_cell_angle_beta 90.00
_cell_angle_gamma 90.00
loop_
_atom_site_label
_atom_site_type_symbol
_atom_site_fract_x
_atom_site_fract_y
_atom_site_fract_z
Sc1 Sc 0.0000 0.0000 0.0000
Ga1 Ga 0.5000 0.5000 0.5000
N1 N 0.0000 0.0000 0.5000
F1 F 0.0000 0.5000 0.0000
```

- D(E_F) (states/eV/atom) = 0.1608
- total magnetization (μB per formula unit) = 0.00
- ΔE to the lowest computed polymorph (meV/atom) = 0
- V (Å³/atom) = 14.4
- formation energy from raw total energies (eV per atom) = -1.765



Record 8
The following is a DFT calculation (PBE-GGA) of crystalline AsPbAu2 at its relaxed geometry.

```
data_AsPbAu2
_space_group_name_H-M_alt 'C 1 2/m 1'
_space_group_IT_number 12
_space_group_name_Hall '-C 2y'
_cell_length_a 7.3553
_cell_length_b 4.2724
_cell_length_c 6.3627
_cell_angle_alpha 90.00
_cell_angle_beta 112.22
_cell_angle_gamma 90.00
loop_
_atom_site_label
_atom_site_type_symbol
_atom_site_fract_x
_atom_site_fract_y
_atom_site_fract_z
As1 As 0.0000 0.0000 0.0000
Pb1 Pb 0.0000 0.5000 0.5000
Au1 Au 0.2297 0.5000 0.1912
```

- D(E_F) (states/eV/atom) = 0.2197
- total magnetization (μB per formula unit) = 0.00
- V (Å³/atom) = 23.1
- formation energy (eV per atom) = 0.013



Record 9
The following is a DFT calculation (PBE-GGA) of crystalline BiRuN2 at its relaxed geometry.

```
data_BiRuN2
_space_group_name_H-M_alt 'R -3 m'
_space_group_IT_number 166
_space_group_name_Hall '-R 3 2"'
_cell_length_a 3.2046
_cell_length_b 3.2046
_cell_length_c 20.0286
_cell_angle_alpha 90.00
_cell_angle_beta 90.00
_cell_angle_gamma 120.00
loop_
_atom_site_label
_atom_site_type_symbol
_atom_site_fract_x
_atom_site_fract_y
_atom_site_fract_z
Bi1 Bi 0.0000 0.0000 0.0000
Ru1 Ru 0.0000 0.0000 0.5000
N1 N 0.0000 0.0000 0.1192
```

- D(E_F) (states/eV/atom) = 1.1019
- total magnetization (μB per formula unit) = 0.00
- V (Å³/atom) = 14.8
- formation energy from raw total energies (eV per atom) = 0.729



Record 10
The following is a DFT calculation (PBE-GGA) of crystalline CePrSmZr at its relaxed geometry.

```
data_CePrSmZr
_space_group_name_H-M_alt 'F -4 3 m'
_space_group_IT_number 216
_space_group_name_Hall 'F -4 2 3'
_cell_length_a 7.8321
_cell_length_b 7.8321
_cell_length_c 7.8321
_cell_angle_alpha 90.00
_cell_angle_beta 90.00
_cell_angle_gamma 90.00
loop_
_atom_site_label
_atom_site_type_symbol
_atom_site_fract_x
_atom_site_fract_y
_atom_site_fract_z
Ce1 Ce 0.0000 0.0000 0.0000
Pr1 Pr 0.2500 0.2500 0.7500
Sm1 Sm 0.0000 0.0000 0.5000
Zr1 Zr 0.2500 0.2500 0.2500
```

- D(E_F) (states/eV/atom) = 3.0051
- total magnetization (μB per formula unit) = 1.43
- V (Å³/atom) = 30.0
- formation energy (eV per atom) = 0.284



Record 11
The following is a DFT calculation (PBE-GGA) of crystalline LiCuSO at its relaxed geometry.

```
data_LiCuSO
_space_group_name_H-M_alt 'P 4/n m m'
_space_group_IT_number 129
_cell_length_a 3.8229
_cell_length_b 3.8229
_cell_length_c 7.3974
_cell_angle_alpha 90.00
_cell_angle_beta 90.00
_cell_angle_gamma 90.00
loop_
_space_group_symop_operation_xyz
'x,y,z'
'-x,-y,-z'
'-y+1/2,x,z'
'y+1/2,-x,-z'
'-x+1/2,-y+1/2,z'
'x+1/2,y+1/2,-z'
'y,-x+1/2,z'
'-y,x+1/2,-z'
'x+1/2,-y,-z'
'-x+1/2,y,z'
'-y,-x,-z'
'y,x,z'
'-x,y+1/2,-z'
'x,-y+1/2,z'
'y+1/2,x+1/2,-z'
'-y+1/2,-x+1/2,z'
loop_
_atom_site_label
_atom_site_type_symbol
_atom_site_fract_x
_atom_site_fract_y
_atom_site_fract_z
Li1 Li 0.2500 0.2500 0.0364
Cu1 Cu 0.2500 0.7500 0.5000
S1 S 0.2500 0.2500 0.6721
O1 O 0.2500 0.7500 0.0000
```

- D(E_F) (states/eV/atom) = 0.7531
- total magnetization (μB per formula unit) = 1.15
- V (Å³/atom) = 13.5
- formation energy from raw total energies (eV per atom) = -0.442



Record 12
The following is a DFT calculation (PBE-GGA) of crystalline TlP at its relaxed geometry.

```
data_TlP
_space_group_name_H-M_alt 'C 1 2/m 1'
_space_group_IT_number 12
_space_group_name_Hall '-C 2y'
_cell_length_a 11.1084
_cell_length_b 3.3093
_cell_length_c 7.0413
_cell_angle_alpha 90.00
_cell_angle_beta 123.18
_cell_angle_gamma 90.00
loop_
_atom_site_label
_atom_site_type_symbol
_atom_site_fract_x
_atom_site_fract_y
_atom_site_fract_z
Tl1 Tl 0.0575 0.0000 0.3016
P1 P 0.2402 0.5000 0.8883
```

- D(E_F) (states/eV/atom) = 0.3101
- total magnetization (μB per formula unit) = 0.00
- V (Å³/atom) = 27.1
- formation energy (eV per atom) = 0.065



Record 13
The following is a DFT calculation (PBE-GGA) of crystalline RbLaSeS at its relaxed geometry.

```
data_RbLaSeS
_space_group_name_H-M_alt 'R 3 m'
_space_group_IT_number 160
_space_group_name_Hall 'R 3 -2"'
_cell_length_a 4.3680
_cell_length_b 4.3680
_cell_length_c 24.0876
_cell_angle_alpha 90.00
_cell_angle_beta 90.00
_cell_angle_gamma 120.00
loop_
_atom_site_label
_atom_site_type_symbol
_atom_site_fract_x
_atom_site_fract_y
_atom_site_fract_z
Rb1 Rb 0.0000 0.0000 0.0000
La1 La 0.0000 0.0000 0.1650
Se1 Se 0.0000 0.0000 0.5688
S1 S 0.0000 0.0000 0.7703
```

- D(E_F) (states/eV/atom) = 0.0000
- total magnetization (μB per formula unit) = 0.00
- V (Å³/atom) = 33.2
- formation energy from raw total energies (eV per atom) = -1.825